Compound: Co2BMo2
Source: Alexandria
Functional: PBE-GGA
Structure: optimized geometry

The structure in POSCAR format:
```
Co2BMo2
1.0
5.2621 0.0000 0.0000
0.0000 5.2621 0.0000
0.0000 0.0000 4.2833
Mo B Co
4 2 4
direct
0.1729 0.6729 0.5000 Mo
0.6729 0.8271 0.5000 Mo
0.8271 0.3271 0.5000 Mo
0.3271 0.1729 0.5000 Mo
0.0000 0.0000 0.0000 B
0.5000 0.5000 0.0000 B
0.3450 0.8450 0.0000 Co
0.8450 0.6550 0.0000 Co
0.6550 0.1550 0.0000 Co
0.1550 0.3450 0.0000 Co
```

Results
As for the space-group type: No. 127. As for the magnetic moment: 0.000 Bohr magnetons per cell. The value obtained for the formation energy is 0.078 eV per atom.

---

Compound: CoB2Mo4
Source: Alexandria
Functional: PBE-GGA
Structure: optimized geometry

The structure in POSCAR format:
```
CoB2Mo4
1.0
3.0155 0.0000 0.0000
1.5078 2.6115 0.0000
1.5078 0.8705 11.5339
Co B Mo
1 2 4
direct
0.0000 0.0000 0.0000 Co
0.0955 0.0955 0.7134 B
0.9045 0.9045 0.2866 B
0.3919 0.3919 0.8243 Mo
0.2009 0.2009 0.3974 Mo
0.7991 0.7991 0.6026 Mo
0.6081 0.6081 0.1757 Mo
```

Results
As for the space-group type: No. 166. As for the magnetic moment: 1.177 Bohr magnetons per cell. The value obtained for the formation energy is 0.025 eV per atom.

---

Compound: Co2B2Mo
Source: Alexandria
Functional: PBE-GGA
Structure: optimized geometry

The structure in POSCAR format:
```
Co2B2Mo
1.0
-0.8069 -4.7331 -3.7956
5.9442 -1.3836 0.4616
-0.5006 -1.4938 1.9693
Mo B Co
2 4 4
direct
0.0000 0.0000 0.0000 Mo
0.5000 0.5000 0.0000 Mo
0.3564 0.8564 0.0000 B
0.8564 0.6436 0.0000 B
0.6436 0.1436 0.0000 B
0.1436 0.3564 0.0000 B
0.1470 0.6470 0.5000 Co
0.6470 0.8530 0.5000 Co
0.8530 0.3530 0.5000 Co
0.3530 0.1470 0.5000 Co
```

Results
The value obtained for the polymorph energy (0 for the lowest one) is 0.206 eV/atom. As for the space-group type: No. 127. As for the magnetic moment: 0.000 Bohr magnetons per cell. The value obtained for the formation energy is -0.093 eV per atom.

---

Compound: CoBMo
Source: Alexandria
Functional: PBE-GGA
Structure: optimized geometry

The structure in POSCAR format:
```
CoBMo
1.0
-1.8944 0.6753 -2.2752
-1.6403 -2.6769 0.5712
-3.0368 4.5932 3.8919
Co B Mo
2 2 2
direct
0.7500 0.2931 0.5862 Co
0.2500 0.7069 0.4138 Co
0.2500 0.5370 0.0741 B
0.7500 0.4630 0.9259 B
0.2500 0.9055 0.8110 Mo
0.7500 0.0945 0.1890 Mo
```

Results
As for the space-group type: No. 63. As for the magnetic moment: 1.939 Bohr magnetons per cell. The value obtained for the formation energy is -0.281 eV per atom.

---

Compound: Co5B2Mo4
Source: Alexandria
Functional: PBE-GGA
Structure: optimized geometry

The structure in POSCAR format:
```
Co5B2Mo4
1.0
-1.0586 2.7895 0.2178
-4.9108 -2.0700 2.6452
3.8912 0.9980 6.1314
Co B Mo
5 2 4
direct
0.0000 0.5431 0.3294 Co
0.0000 0.1560 0.1405 Co
0.0000 0.5000 0.0000 Co
0.0000 0.8440 0.8595 Co
0.0000 0.4569 0.6706 Co
0.0000 0.0669 0.6196 B
0.0000 0.9331 0.3804 B
0.5000 0.7741 0.5643 Mo
0.5000 0.1872 0.8447 Mo
0.5000 0.2259 0.4357 Mo
0.5000 0.8128 0.1553 Mo
```

Results
As for the space-group type: No. 10. As for the magnetic moment: 3.217 Bohr magnetons per cell. The value obtained for the formation energy is -0.021 eV per atom.